# 1
4
Lattice="0.000 3.263 3.263 3.263 0.000 3.263 3.263 3.263 0.000" Properties=species:S:1:pos:R:3 comment="Si2AsSe | Alexandria | PBE-GGA | optimized geometry" e_tot_ev_per_atom=-4.143 density_kg_m3=5020 de_polymorph_mev_per_atom=617 pbc="T T T"
Si 0.000 0.000 0.000
Si 1.632 1.632 1.632
As 3.263 3.263 3.263
Se 4.895 4.895 4.895

=====

# 2
11
Lattice="-2.528 3.859 7.993 2.528 -3.859 7.993 2.528 3.859 -7.993" Properties=species:S:1:pos:R:3 comment="Pr3Dy4Ag4 | Alexandria | PBE-GGA | optimized geometry" e_tot_ev_per_atom=-4.137 density_kg_m3=8008 e_form_ev_per_atom=-0.12 pbc="T T T"
Pr 0.000 0.000 0.000
Pr 2.528 0.000 6.293
Pr 0.000 3.859 1.700
Dy 2.528 1.683 -2.797
Dy 2.528 1.683 2.797
Dy 0.000 2.176 5.196
Dy 0.000 2.176 10.790
Ag 0.000 0.000 3.232
Ag 2.528 2.424 0.000
Ag 0.000 1.435 7.993
Ag 0.000 0.000 12.754

=====

# 3
5
Lattice="3.825 0.000 0.000 0.000 3.825 0.000 0.000 0.000 5.415" Properties=species:S:1:pos:R:3 comment="TaCuPO2 | Alexandria | PBE-GGA | optimized geometry" e_tot_ev_per_atom=-7.455 density_kg_m3=6442 de_polymorph_mev_per_atom=0 pbc="T T T"
Ta 0.000 0.000 0.000
Cu 1.913 1.913 2.708
P 0.000 0.000 2.708
O 0.000 1.913 0.000
O 1.913 0.000 0.000